Compound: NaTcP2Cl
Source: Alexandria via LeMat-Bulk
Functional: PBE-GGA
Structure: relaxed

Values from the calculation:
The calculation puts the formation energy from raw total energies at 8.467 eV/f.u. The crystal system is tetragonal. Its polymorph energy (0 for the lowest one) is 1.870 eV/atom. Its symmetry is No. 123. The total magnetic moment comes out at 0.096 μB per cell.

Lattice parameters (Å, degrees): 4.751 4.751 4.630 90.00 90.00 90.00
Element x y z (fractional)
Na (0.000, 0.000, 0.000)
Tc (0.500, 0.500, 0.500)
P (0.000, 0.500, 0.000)
P (0.500, 0.000, 0.000)
Cl (0.000, 0.000, 0.500)

Compound: NaTcP2Cl
Source: Alexandria via LeMat-Bulk
Functional: PBE-GGA
Structure: relaxed

Values from the calculation:
The calculation puts the formation energy from raw total energies at -0.883 eV/f.u. The crystal system is tetragonal. Its polymorph energy (0 for the lowest one) is 0.000 eV/atom. Its symmetry is No. 123. The total magnetic moment comes out at 0.000 μB per cell.

Lattice parameters (Å, degrees): 4.522 4.522 5.521 90.00 90.00 90.00
Element x y z (fractional)
Na (0.000, 0.000, 0.000)
Tc (0.500, 0.500, 0.500)
P (0.000, 0.500, 0.500)
P (0.500, 0.000, 0.500)
Cl (0.500, 0.500, 0.000)

Compound: NaTePCl2
Source: Alexandria via LeMat-Bulk
Functional: PBE-GGA
Structure: relaxed

Values from the calculation:
The calculation puts the formation energy from raw total energies at 1.203 eV/f.u. The crystal system is tetragonal. Its polymorph energy (0 for the lowest one) is 0.464 eV/atom. Its symmetry is No. 123. The total magnetic moment comes out at 1.700 μB per cell.

Lattice parameters (Å, degrees): 4.835 4.835 5.635 90.00 90.00 90.00
Element x y z (fractional)
Na (0.000, 0.000, 0.000)
Te (0.500, 0.500, 0.500)
P (0.000, 0.000, 0.500)
Cl (0.000, 0.500, 0.000)
Cl (0.500, 0.000, 0.000)

Compound: NaTePCl2
Source: Alexandria via LeMat-Bulk
Functional: PBE-GGA
Structure: relaxed

Values from the calculation:
The calculation puts the formation energy from raw total energies at -1.118 eV/f.u. The crystal system is tetragonal. Its polymorph energy (0 for the lowest one) is 0.000 eV/atom. Its symmetry is No. 123. The total magnetic moment comes out at 0.000 μB per cell.

Lattice parameters (Å, degrees): 5.706 5.706 4.925 90.00 90.00 90.00
Element x y z (fractional)
Na (0.000, 0.000, 0.000)
Te (0.500, 0.500, 0.500)
P (0.500, 0.500, 0.000)
Cl (0.000, 0.500, 0.500)
Cl (0.500, 0.000, 0.500)

Compound: NaTiPCl2
Source: Alexandria via LeMat-Bulk
Functional: PBE-GGA
Structure: relaxed

Values from the calculation:
The calculation puts the formation energy from raw total energies at 1.194 eV/f.u. The crystal system is tetragonal. Its polymorph energy (0 for the lowest one) is 1.159 eV/atom. Its symmetry is No. 123. The total magnetic moment comes out at 2.040 μB per cell.

Lattice parameters (Å, degrees): 4.714 4.714 5.435 90.00 90.00 90.00
Element x y z (fractional)
Na (0.000, 0.000, 0.000)
Ti (0.500, 0.500, 0.500)
P (0.000, 0.000, 0.500)
Cl (0.000, 0.500, 0.000)
Cl (0.500, 0.000, 0.000)

Compound: NaTiPCl2
Source: Alexandria via LeMat-Bulk
Functional: PBE-GGA
Structure: relaxed

Values from the calculation:
The calculation puts the formation energy from raw total energies at -4.603 eV/f.u. The crystal system is tetragonal. Its polymorph energy (0 for the lowest one) is 0.000 eV/atom. Its symmetry is No. 123. The total magnetic moment comes out at 0.003 μB per cell.

Lattice parameters (Å, degrees): 4.946 4.946 4.764 90.00 90.00 90.00
Element x y z (fractional)
Na (0.000, 0.000, 0.000)
Ti (0.500, 0.500, 0.500)
P (0.500, 0.500, 0.000)
Cl (0.000, 0.500, 0.500)
Cl (0.500, 0.000, 0.500)

Compound: NaTiP2Cl
Source: Alexandria via LeMat-Bulk
Functional: PBE-GGA
Structure: relaxed

Values from the calculation:
The calculation puts the formation energy from raw total energies at -2.553 eV/f.u. The crystal system is tetragonal. Its polymorph energy (0 for the lowest one) is 0.000 eV/atom. Its symmetry is No. 123. The total magnetic moment comes out at 0.000 μB per cell.

Lattice parameters (Å, degrees): 4.667 4.667 5.320 90.00 90.00 90.00
Element x y z (fractional)
Na (0.000, 0.000, 0.000)
Ti (0.500, 0.500, 0.500)
P (0.000, 0.500, 0.500)
P (0.500, 0.000, 0.500)
Cl (0.500, 0.500, 0.000)

Compound: NaTiP2Cl
Source: Alexandria via LeMat-Bulk
Functional: PBE-GGA
Structure: relaxed

Values from the calculation:
The calculation puts the formation energy from raw total energies at 4.562 eV/f.u. The crystal system is tetragonal. Its polymorph energy (0 for the lowest one) is 1.423 eV/atom. Its symmetry is No. 123. The total magnetic moment comes out at 0.000 μB per cell.

Lattice parameters (Å, degrees): 4.826 4.826 4.685 90.00 90.00 90.00
Element x y z (fractional)
Na (0.000, 0.000, 0.000)
Ti (0.500, 0.500, 0.500)
P (0.000, 0.500, 0.000)
P (0.500, 0.000, 0.000)
Cl (0.000, 0.000, 0.500)

Compound: NaTlP2Cl
Source: Alexandria via LeMat-Bulk
Functional: PBE-GGA
Structure: relaxed

Values from the calculation:
The calculation puts the formation energy from raw total energies at 2.973 eV/f.u. The crystal system is tetragonal. Its polymorph energy (0 for the lowest one) is 0.192 eV/atom. Its symmetry is No. 123. The total magnetic moment comes out at 2.640 μB per cell.

Lattice parameters (Å, degrees): 5.179 5.179 5.388 90.00 90.00 90.00
Element x y z (fractional)
Na (0.000, 0.000, 0.000)
Tl (0.500, 0.500, 0.500)
P (0.000, 0.500, 0.000)
P (0.500, 0.000, 0.000)
Cl (0.000, 0.000, 0.500)

Compound: NaTlPCl2
Source: Alexandria via LeMat-Bulk
Functional: PBE-GGA
Structure: relaxed

Values from the calculation:
The calculation puts the formation energy from raw total energies at -1.385 eV/f.u. The crystal system is tetragonal. Its polymorph energy (0 for the lowest one) is 0.000 eV/atom. Its symmetry is No. 123. The total magnetic moment comes out at 1.707 μB per cell.

Lattice parameters (Å, degrees): 5.693 5.693 5.209 90.00 90.00 90.00
Element x y z (fractional)
Na (0.000, 0.000, 0.000)
Tl (0.500, 0.500, 0.500)
P (0.500, 0.500, 0.000)
Cl (0.000, 0.500, 0.500)
Cl (0.500, 0.000, 0.500)

Compound: NaTlPCl2
Source: Alexandria via LeMat-Bulk
Functional: PBE-GGA
Structure: relaxed

Values from the calculation:
The calculation puts the formation energy from raw total energies at -1.172 eV/f.u. The crystal system is tetragonal. Its polymorph energy (0 for the lowest one) is 0.043 eV/atom. Its symmetry is No. 123. The total magnetic moment comes out at 3.011 μB per cell.

Lattice parameters (Å, degrees): 5.330 5.330 5.460 90.00 90.00 90.00
Element x y z (fractional)
Na (0.000, 0.000, 0.000)
Tl (0.500, 0.500, 0.500)
P (0.000, 0.000, 0.500)
Cl (0.000, 0.500, 0.000)
Cl (0.500, 0.000, 0.000)

Compound: NaTlP2Cl
Source: Alexandria via LeMat-Bulk
Functional: PBE-GGA
Structure: relaxed

Values from the calculation:
The calculation puts the formation energy from raw total energies at 2.011 eV/f.u. The crystal system is tetragonal. Its polymorph energy (0 for the lowest one) is 0.000 eV/atom. Its symmetry is No. 123. The total magnetic moment comes out at 1.391 μB per cell.

Lattice parameters (Å, degrees): 5.140 5.140 5.951 90.00 90.00 90.00
Element x y z (fractional)
Na (0.000, 0.000, 0.000)
Tl (0.500, 0.500, 0.500)
P (0.000, 0.500, 0.500)
P (0.500, 0.000, 0.500)
Cl (0.500, 0.500, 0.000)